PmSnPd2 (PBE, relaxed); uncorrected energy = -5.6133 eV per atom; space-group type = No. 62; DOS at the Fermi energy = 6.93 states/eV/cell
1.0
6.241 0.000 0.000
0.000 7.235 0.000
0.000 0.000 7.668
Pm Sn Pd
4 4 8
direct
0.330 0.250 0.030
0.830 0.750 0.470
0.670 0.750 0.970
0.170 0.250 0.530
0.669 0.250 0.385
0.169 0.750 0.115
0.331 0.750 0.615
0.831 0.250 0.885
0.933 0.050 0.185
0.433 0.950 0.315
0.067 0.550 0.815
0.567 0.450 0.685
0.067 0.950 0.815
0.567 0.050 0.685
0.933 0.450 0.185
0.433 0.550 0.315